The following is a PBE+U calculation of a geometry-optimized LiFe3O3F4 structure, from Alexandria via LeMat-Bulk.

Values from the calculation:
As for the total magnetization: 1.363 μB/atom. The value obtained for the total DFT energy (no corrections) is -5.765 eV/atom. The density of states at the Fermi level is 0.00 states/eV/f.u.

Cell and atoms, written as POSCAR:
```
LiFe3O3F4
1.0
5.3800 -0.0334 -0.0448
-1.2314 5.2373 -0.0448
-1.2314 -1.5447 5.0045
O Fe F Li
3 3 4 1
Cartesian
3.1678 1.3979 1.8775 O
0.6568 0.8238 3.7953 O
0.6568 3.3997 1.8775 O
2.0174 2.5306 0.7370 Fe
2.0174 -0.0195 2.6356 Fe
-0.4686 1.9623 2.6356 Fe
-0.9970 3.0341 4.0753 F
3.1800 -0.2957 4.0753 F
3.1800 3.9889 0.8852 F
0.7203 0.9035 1.2135 F
2.8264 3.5454 4.7620 Li
```